No. 1
A plane-wave DFT calculation with PBE was carried out for a relaxed structure of La8Ga3HgI4.

Properties
* Fermi-level density of states: 46.7 states/eV/cell

Cell lengths 9.0861, 9.0861, 22.7130 Å; angles 90.00, 90.00, 120.00 degrees
Space group R-3m (No. 166, hexagonal axes)
Symmetry-distinct sites (fractional):
La (0.0000, 0.0000, 0.2377) x6
La (0.0101, 0.5050, 0.7594) x18
Ga (0.0000, 0.5000, 0.5000) x9
Hg (0.0000, 0.0000, 0.5000) x3
I (0.0000, 0.0000, 0.0000) x3
I (0.0000, 0.5000, 0.0000) x9

---

No. 2
A plane-wave DFT calculation with PBE was carried out for a relaxed structure of CoAgBr2.

Properties
* Fermi-level density of states: 3.8 states/eV/cell

Cell lengths 3.404, 3.404, 7.072 Å; angles 90.00, 90.00, 90.00 degrees
Space group P4/mmm (No. 123)
Symmetry-distinct sites (fractional):
Co (0.000, 0.000, 0.000) x1
Ag (0.000, 0.000, 0.500) x1
Br (0.500, 0.500, 0.226) x2

---

No. 3
A plane-wave DFT calculation with PBE was carried out for a relaxed structure of Ba2ThTc2N6.

Cell lengths 6.1262, 6.1262, 19.1632 Å; angles 90.00, 90.00, 120.00 degrees
Space group R-3m (No. 166, hexagonal axes)
Symmetry-distinct sites (fractional):
Ba (0.0000, 0.0000, 0.2112) x6
Th (0.0000, 0.0000, 0.0000) x3
Tc (0.0000, 0.0000, 0.4008) x6
N (0.0019, 0.5009, 0.2484) x18

---

No. 4
A plane-wave DFT calculation with PBE was carried out for a relaxed structure of MnTl2Cu2Cl6.

Cell lengths 7.3052, 7.3052, 18.3938 Å; angles 90.00, 90.00, 120.00 degrees
Space group R-3m (No. 166, hexagonal axes)
Symmetry-distinct sites (fractional):
Mn (0.0000, 0.0000, 0.0000) x3
Tl (0.0000, 0.0000, 0.2310) x6
Cu (0.0000, 0.0000, 0.4118) x6
Cl (0.0192, 0.5096, 0.7511) x18

---

Calculated values (eV per atom) of uncorrected energy for the records, taken in order: -4.23 -2.98 -8.10 -3.82.